1.
A relaxed MnSe2I crystal. Source: Alexandria via LeMat-Bulk, functional PBE.

Its raw formation energy is 0.041 eV/atom. For the density, the calculation gives 4.5 g/cm³. The total magnetic moment is 2.00 μB per formula unit. The value obtained for the final energy is -4.38 eV/atom.

The space group is R3m (No. 160, hexagonal axes) and the conventional cell measures 4.0513, 4.0513 and 26.7067 Å, with angles of 90.00, 90.00 and 120.00 degrees. The inequivalent atoms are Mn at (0.0000, 0.0000, 0.0000), Se at (0.0000, 0.0000, 0.0812), Se at (0.0000, 0.0000, 0.6391) and I at (0.0000, 0.0000, 0.4948).

---

2.
A relaxed MnSe2I crystal. Source: Alexandria via LeMat-Bulk, functional PBE.

Its raw formation energy is -0.185 eV/atom. For the density, the calculation gives 5.3 g/cm³. The total magnetic moment is 2.00 μB per formula unit. The value obtained for the final energy is -4.61 eV/atom.

The space group is C2 (No. 5) and the conventional cell measures 6.158, 10.664 and 6.486 Å, with angles of 90.00, 95.13 and 90.00 degrees. The inequivalent atoms are Mn at (0.000, 0.000, 0.000), Mn at (0.000, 0.259, 0.000), Se at (0.136, 0.465, 0.146), Se at (0.143, 0.129, 0.265) and I at (0.153, 0.807, 0.258).

---

3.
A relaxed Mn2SeI crystal. Source: Alexandria via LeMat-Bulk, functional PBE.

Its raw formation energy is 0.817 eV/atom. For the density, the calculation gives 8.5 g/cm³. The total magnetic moment is 0.00 μB per formula unit. The value obtained for the final energy is -5.03 eV/atom.

The space group is Fm-3m (No. 225) and the conventional cell measures 6.276, 6.276 and 6.276 Å, with angles of 90.00, 90.00 and 90.00 degrees. The inequivalent atoms are Mn at (0.250, 0.250, 0.250), Se at (0.000, 0.000, 0.000) and I at (0.000, 0.000, 0.500).

---

4.
A relaxed MnSe2I crystal. Source: Alexandria via LeMat-Bulk, functional PBE.

Its raw formation energy is 1.105 eV/atom. For the density, the calculation gives 6.8 g/cm³. The total magnetic moment is 0.16 μB per formula unit. The value obtained for the final energy is -3.32 eV/atom.

The space group is P4/mmm (No. 123) and the conventional cell measures 4.930, 4.930 and 3.392 Å, with angles of 90.00, 90.00 and 90.00 degrees. The inequivalent atoms are Mn at (0.000, 0.000, 0.000), Se at (0.000, 0.500, 0.500) and I at (0.500, 0.500, 0.000).